[1]
Here is a relaxed structure of KSrPuF6 from Alexandria. Energies are from PBE-GGA.

Cell lengths 6.5434, 6.5434, 9.9251 Å; angles 90.00, 90.00, 120.00 degrees
Closest atoms and distances in Å follow each position.
Atoms (fractional coordinates):
F 0.0160 0.3696 0.6374  1 Pu 2.30, 1 Sr 2.45
F 0.3536 0.9840 0.6374  1 Pu 2.30, 1 Sr 2.45
K 0.0000 0.0000 0.5000  6 F 2.73
Sr 0.3333 0.6667 0.2500  6 F 2.45
F 0.9840 0.3536 0.1374  1 Pu 2.30, 1 Sr 2.45
F 0.3696 0.0160 0.1374  1 Pu 2.30, 1 Sr 2.45
Sr 0.6667 0.3333 0.7500  6 F 2.45
F 0.3696 0.3536 0.3626  1 Pu 2.30, 1 Sr 2.45
F 0.6464 0.6304 0.1374  1 Pu 2.30, 1 Sr 2.45
F 0.6464 0.0160 0.3626  1 Pu 2.30, 1 Sr 2.45
F 0.6304 0.9840 0.8626  1 Pu 2.30, 1 Sr 2.45
K 0.0000 0.0000 0.0000  6 F 2.73
F 0.6304 0.6464 0.6374  1 Pu 2.30, 1 Sr 2.45
F 0.9840 0.6304 0.3626  1 Pu 2.30, 1 Sr 2.45
F 0.0160 0.6464 0.8626  1 Pu 2.30, 1 Sr 2.45
F 0.3536 0.3696 0.8626  1 Pu 2.30, 1 Sr 2.45
Pu 0.6667 0.3333 0.2500  6 F 2.30
Pu 0.3333 0.6667 0.7500  6 F 2.30

Properties
E = -6.63 eV per atom
uncorrected formation energy = -3.48 eV/atom
density = 4.4 g/cm³



[2]
Here is a relaxed structure of Er3TmPt3 from Alexandria. Energies are from PBE-GGA.

Cell lengths 6.8922, 6.8922, 7.0271 Å; angles 90.78, 90.78, 97.03 degrees
Closest atoms and distances in Å follow each position.
Atoms (fractional coordinates):
Pt 0.9414 0.9414 0.1952  2 Tm 2.79-2.98, 5 Er 2.85-2.96, 1 Pt 2.97
Er 0.1767 0.8233 0.5000  6 Pt 2.81-2.91
Er 0.3309 0.3309 0.6127  3 Pt 2.85-2.93
Pt 0.9789 0.5048 0.7185  1 Tm 2.73, 5 Er 2.81-3.05
Er 0.2480 0.7520 0.0000  6 Pt 2.96-3.05
Er 0.7520 0.2480 0.0000  6 Pt 2.96-3.05
Pt 0.5048 0.9789 0.7185  1 Tm 2.73, 5 Er 2.81-3.05
Pt 0.0586 0.0586 0.8048  2 Tm 2.79-2.98, 5 Er 2.85-2.96, 1 Pt 2.97
Pt 0.0211 0.4952 0.2815  1 Tm 2.73, 5 Er 2.81-3.05
Tm 0.2601 0.2601 0.1091  4 Pt 2.73-2.98
Er 0.6691 0.6691 0.3873  3 Pt 2.85-2.93
Pt 0.4952 0.0211 0.2815  1 Tm 2.73, 5 Er 2.81-3.05
Er 0.8233 0.1767 0.5000  6 Pt 2.81-2.91
Tm 0.7399 0.7399 0.8909  4 Pt 2.73-2.98

Properties
ΔE_f = -1.050 eV/atom
E = -6.23 eV per atom
density = 12.6 g/cm³